Arrangement a

This record from OQMD via LeMat-Bulk describes a geometry-optimized MgBeNb structure. The functional is PBE.

```
MgBeNb
1.0
0.000 3.054 3.054
3.054 0.000 3.054
3.054 3.054 0.000
Mg Be Nb
1 1 1
Direct
0.000 0.000 0.000
0.500 0.500 0.500
0.750 0.750 0.750
```

Properties
Theoretical density ... 3.679 g/cm³


Arrangement b

This record from OQMD via LeMat-Bulk describes a geometry-optimized MgBeNb structure. The functional is PBE.

```
MgBeNb
1.0
0.000 2.987 2.987
2.987 0.000 2.987
2.987 2.987 0.000
Mg Be Nb
1 1 1
Direct
0.000 0.000 0.000
0.750 0.750 0.750
0.250 0.250 0.250
```

Properties
Theoretical density ... 3.934 g/cm³


Stability check: which of them is most stable? arrangement a.


Arrangement a

This record from OQMD via LeMat-Bulk describes a geometry-optimized MgBeNiSb structure. The functional is PBE.

```
MgBeNiSb
1.0
0.000 3.147 3.147
3.147 0.000 3.147
3.147 3.147 0.000
Mg Be Ni Sb
1 1 1 1
Direct
0.000 0.000 0.000
0.250 0.250 0.250
0.750 0.750 0.750
0.500 0.500 0.500
```

Properties
Theoretical density ... 5.696 g/cm³


Arrangement b

This record from OQMD via LeMat-Bulk describes a geometry-optimized MgBeNiSb structure. The functional is PBE.

```
MgBeNiSb
1.0
0.000 3.173 3.173
3.173 0.000 3.173
3.173 3.173 0.000
Mg Be Ni Sb
1 1 1 1
Direct
0.000 0.000 0.000
0.750 0.750 0.750
0.500 0.500 0.500
0.250 0.250 0.250
```

Properties
Theoretical density ... 5.556 g/cm³


Stability check: which of them is most stable? arrangement a.


Arrangement a

This record from OQMD via LeMat-Bulk describes a geometry-optimized MgBeTlNi structure. The functional is PBE.

```
MgBeTlNi
1.0
0.000 3.140 3.140
3.140 0.000 3.140
3.140 3.140 0.000
Mg Be Tl Ni
1 1 1 1
Direct
0.000 0.000 0.000
0.750 0.750 0.750
0.250 0.250 0.250
0.500 0.500 0.500
```

Properties
Theoretical density ... 7.950 g/cm³


Arrangement b

This record from OQMD via LeMat-Bulk describes a geometry-optimized MgBeTlNi structure. The functional is PBE.

```
MgBeTlNi
1.0
0.000 3.122 3.122
3.122 0.000 3.122
3.122 3.122 0.000
Mg Be Tl Ni
1 1 1 1
Direct
0.000 0.000 0.000
0.250 0.250 0.250
0.500 0.500 0.500
0.750 0.750 0.750
```

Properties
Theoretical density ... 8.090 g/cm³


Stability check: which of them is most stable? arrangement b.


Arrangement a

This record from OQMD via LeMat-Bulk describes a geometry-optimized MgZrBeNi structure. The functional is PBE.

```
MgZrBeNi
1.0
0.000 3.085 3.085
3.085 0.000 3.085
3.085 3.085 0.000
Mg Zr Be Ni
1 1 1 1
Direct
0.000 0.000 0.000
0.750 0.750 0.750
0.250 0.250 0.250
0.500 0.500 0.500
```

Properties
Theoretical density ... 5.182 g/cm³


Arrangement b

This record from OQMD via LeMat-Bulk describes a geometry-optimized MgZrBeNi structure. The functional is PBE.

```
MgZrBeNi
1.0
0.000 3.107 3.107
3.107 0.000 3.107
3.107 3.107 0.000
Mg Zr Be Ni
1 1 1 1
Direct
0.000 0.000 0.000
0.500 0.500 0.500
0.750 0.750 0.750
0.250 0.250 0.250
```

Properties
Theoretical density ... 5.071 g/cm³


Arrangement c

This record from OQMD via LeMat-Bulk describes a geometry-optimized MgZrBeNi structure. The functional is PBE.

```
MgZrBeNi
1.0
0.000 3.086 3.086
3.086 0.000 3.086
3.086 3.086 0.000
Mg Zr Be Ni
1 1 1 1
Direct
0.000 0.000 0.000
0.750 0.750 0.750
0.500 0.500 0.500
0.250 0.250 0.250
```

Properties
Theoretical density ... 5.178 g/cm³


Stability check: which of them is most stable? arrangement b.